DFT (GGA-PBEsol) results for an optimized crystal structure of CaLa.

## Properties
E above lowest polymorph: 0 meV per atom
Energy of formation: 0.03 eV/atom
Density: 3.99 Mg/m³
Total magnetic moment: 0.00 μB/f.u.

Cell: 3.704 3.704 10.866 Å, 90.00 90.00 90.00°
Atoms (fractional coordinates):
Ca: 0.250 0.250 0.132
Ca: 0.750 0.750 0.868
La: 0.250 0.250 0.611
La: 0.750 0.750 0.389